1.
{
  "formula": "SmEr15Tm4",
  "functional": "PBE",
  "state": "optimized geometry",
  "energy_ha_per_atom": -0.1664,
  "magmom_total_mub_per_atom": 0.000,
  "lattice_angstrom": [[-3.611, 0.953, 3.263], [-0.971, -4.851, 0.342], [16.293, -1.948, 18.600]],
  "species": ["Er", "Er", "Er", "Er", "Er", "Er", "Er", "Er", "Er", "Er", "Er", "Er", "Er", "Er", "Er", "Tm", "Tm", "Tm", "Tm", "Sm"],
  "frac_coords": [[0.500, 0.500, 0.201], [0.500, 0.500, 0.600], [0.500, 0.000, 0.699], [0.500, 0.000, 0.500], [0.500, 0.500, 0.799], [0.500, 0.500, 0.400], [0.500, 0.500, 0.000], [0.000, 0.500, 0.301], [0.000, 0.500, 0.102], [0.500, 0.000, 0.898], [0.000, 0.500, 0.699], [0.000, 0.500, 0.898], [0.000, 0.500, 0.500], [0.500, 0.000, 0.102], [0.500, 0.000, 0.301], [0.000, 0.000, 0.600], [0.000, 0.000, 0.799], [0.000, 0.000, 0.201], [0.000, 0.000, 0.400], [0.000, 0.000, 0.000]]
}

=====

2.
{
  "formula": "ScTiMoIr",
  "functional": "PBE",
  "state": "optimized geometry",
  "energy_ha_per_atom": -0.3273,
  "magmom_total_mub_per_atom": 0.000,
  "lattice_angstrom": [[-2.408, 3.164, 2.128], [-2.987, -1.187, 3.164], [0.822, 0.923, 4.337]],
  "species": ["Ti", "Ir", "Sc", "Mo"],
  "frac_coords": [[0.250, 0.250, 0.250], [0.500, 0.500, 0.500], [0.750, 0.750, 0.750], [0.000, 0.000, 0.000]]
}

=====

3.
{
  "formula": "La4Rh2Pb5",
  "functional": "PBE",
  "state": "optimized geometry",
  "energy_ha_per_atom": -0.1990,
  "magmom_total_mub_per_atom": 0.000,
  "lattice_angstrom": [[-1.719, -1.842, 3.016], [2.756, -7.218, -2.838], [7.994, 1.513, 5.481]],
  "species": ["Pb", "Pb", "Pb", "Pb", "Pb", "La", "La", "La", "La", "Rh", "Rh"],
  "frac_coords": [[0.000, 0.500, 0.000], [0.000, 0.859, 0.866], [0.000, 0.141, 0.134], [0.000, 0.545, 0.340], [0.000, 0.455, 0.660], [0.500, 0.803, 0.159], [0.500, 0.790, 0.573], [0.500, 0.210, 0.427], [0.500, 0.197, 0.841], [0.000, 0.911, 0.363], [0.000, 0.089, 0.637]]
}

=====

Going through the records in order, we get ΔH_f (0 K) values of 2.3; -41.1; -58.1 kJ/mol of atoms.
Going through the records in order, we get calculated volume values of 30.50; 16.21; 28.80 Å³ per atom.